Entry 1:
First-principles (GGA-PBE) data for a relaxed structure of SrH2Pt2, as listed in the Alexandria database.

Summary:
- distance to the lowest polymorph of the same formula (eV/atom) = 0.049
- crystal system = tetragonal
- calculated density (g cm⁻³) = 10.286

Cell lengths 6.541, 6.541, 3.621 Å; angles 90.00, 90.00, 90.00 degrees
Fractional coordinates of all 10 atoms:
Sr 0.000 0.000 0.000
Sr 0.500 0.500 0.000
H 0.138 0.362 0.000
H 0.362 0.862 0.000
H 0.638 0.138 0.000
H 0.862 0.638 0.000
Pt 0.142 0.358 0.500
Pt 0.358 0.858 0.500
Pt 0.642 0.142 0.500
Pt 0.858 0.642 0.500

Entry 2:
First-principles (GGA-PBE) data for a relaxed structure of SrTcH2Pt, as listed in the Alexandria database.

Summary:
- crystal system = tetragonal
- energy (eV/atom) = -4.08
- calculated density (g cm⁻³) = 6.417

Cell lengths 4.053, 4.053, 6.028 Å; angles 90.00, 90.00, 90.00 degrees
Fractional coordinates of all 5 atoms:
Sr 0.000 0.000 0.000
Tc 0.500 0.500 0.500
H 0.000 0.500 0.000
H 0.500 0.000 0.000
Pt 0.000 0.000 0.500

Entry 3:
First-principles (GGA-PBE) data for a relaxed structure of SrTlH6Pt2, as listed in the Alexandria database.

Summary:
- crystal system = monoclinic
- energy (eV/atom) = -3.87
- calculated density (g cm⁻³) = 8.878

Cell lengths 6.675, 6.675, 6.496 Å; angles 102.18, 102.18, 107.74 degrees
Fractional coordinates of all 20 atoms:
Sr 0.148 0.852 0.750
Sr 0.852 0.148 0.250
Tl 0.361 0.639 0.250
Tl 0.639 0.361 0.750
H 0.037 0.443 0.625
H 0.114 0.188 0.005
H 0.188 0.114 0.505
H 0.328 0.423 0.855
H 0.423 0.328 0.355
H 0.443 0.037 0.125
H 0.557 0.963 0.875
H 0.577 0.672 0.645
H 0.672 0.577 0.145
H 0.812 0.886 0.495
H 0.886 0.812 0.995
H 0.963 0.557 0.375
Pt 0.065 0.318 0.820
Pt 0.318 0.065 0.320
Pt 0.682 0.935 0.680
Pt 0.935 0.682 0.180

Entry 4:
First-principles (GGA-PBE) data for a relaxed structure of SrYH6Pt2, as listed in the Alexandria database.

Summary:
- crystal system = monoclinic
- energy (eV/atom) = -4.62
- calculated density (g cm⁻³) = 7.997

Cell lengths 6.298, 6.298, 6.656 Å; angles 103.88, 103.88, 102.63 degrees
Fractional coordinates of all 20 atoms:
Sr 0.154 0.846 0.750
Sr 0.846 0.154 0.250
Y 0.409 0.591 0.250
Y 0.591 0.409 0.750
H 0.086 0.567 0.370
H 0.161 0.220 0.012
H 0.220 0.161 0.512
H 0.315 0.530 0.880
H 0.433 0.914 0.130
H 0.470 0.685 0.620
H 0.530 0.315 0.380
H 0.567 0.086 0.870
H 0.685 0.470 0.120
H 0.780 0.839 0.488
H 0.839 0.780 0.988
H 0.914 0.433 0.630
Pt 0.051 0.332 0.821
Pt 0.332 0.051 0.321
Pt 0.668 0.949 0.679
Pt 0.949 0.668 0.179

Entry 5:
First-principles (GGA-PBE) data for a relaxed structure of SrYH2Pt, as listed in the Alexandria database.

Summary:
- crystal system = tetragonal
- energy (eV/atom) = -4.35
- calculated density (g cm⁻³) = 5.755

Cell lengths 4.277, 4.277, 5.893 Å; angles 90.00, 90.00, 90.00 degrees
Fractional coordinates of all 5 atoms:
Sr 0.000 0.000 0.000
Y 0.500 0.500 0.500
H 0.000 0.500 0.000
H 0.500 0.000 0.000
Pt 0.000 0.000 0.500

Entry 6:
First-principles (GGA-PBE) data for a relaxed structure of Sr2ZnHPt, as listed in the Alexandria database.

Summary:
- distance to the lowest polymorph of the same formula (eV/atom) = 0.000
- crystal system = tetragonal
- calculated density (g cm⁻³) = 6.524

Cell lengths 5.526, 5.526, 3.640 Å; angles 90.00, 90.00, 90.00 degrees
Fractional coordinates of all 5 atoms:
Sr 0.000 0.500 0.000
Sr 0.500 0.000 0.000
Zn 0.000 0.000 0.500
H 0.500 0.500 0.000
Pt 0.500 0.500 0.500

| no. | Fermi-level density of states (states/eV per cell) |
| --- | --- |
| 1 | 3.24 |
| 2 | 2.23 |
| 3 | 1.25 |
| 4 | 5.78 |
| 5 | 1.78 |
| 6 | 2.54 |